The following is a PBE-GGA calculation of a relaxed structure of Pu2ZnAg, from Alexandria via LeMat-Bulk.

a b c (Å): 5.1315 5.1315 5.1315
angles (deg): 60.00 60.00 60.00
Sites, in units of the cell vectors:
Pu1 0.7500 0.7500 0.7500
Pu2 0.2500 0.2500 0.2500
Ag1 0.5000 0.5000 0.5000
Zn1 0.0000 0.0000 0.0000

Calculated values
Energy relative to the elements (eV per atom): 0.0837
Volume (Å³/f.u.): 95.5
E above lowest polymorph (meV/atom): 47
Fermi-level density of states (states/eV/atom): 3.5484

---

The following is a PBE-GGA calculation of a relaxed structure of Pu2Zn12Ag5, from Alexandria via LeMat-Bulk.

a b c (Å): 6.9720 6.9720 6.9720
angles (deg): 83.49 83.49 83.49
Sites, in units of the cell vectors:
Pu1 0.3497 0.3497 0.3497
Pu2 0.6503 0.6503 0.6503
Zn1 0.6984 0.0000 0.3016
Zn2 0.6478 0.6478 0.1627
Zn3 0.0000 0.6984 0.3016
Zn4 0.3522 0.3522 0.8373
Zn5 0.3016 0.6984 0.0000
Zn6 0.6478 0.1627 0.6478
Zn7 0.3522 0.8373 0.3522
Zn8 0.8373 0.3522 0.3522
Zn9 0.0000 0.3016 0.6984
Zn10 0.1627 0.6478 0.6478
Zn11 0.3016 0.0000 0.6984
Zn12 0.6984 0.3016 0.0000
Ag1 0.0000 0.5000 0.0000
Ag2 0.1055 0.1055 0.1055
Ag3 0.0000 0.0000 0.5000
Ag4 0.5000 0.0000 0.0000
Ag5 0.8945 0.8945 0.8945

Calculated values
Energy relative to the elements (eV per atom): -0.0793
Volume (Å³/f.u.): 332.8
Fermi-level density of states (states/eV/atom): 1.2755

---

The following is a PBE-GGA calculation of a relaxed structure of Pu2ZnAg3, from Alexandria via LeMat-Bulk.

a b c (Å): 5.7261 5.7261 5.5924
angles (deg): 89.88 120.71 120.22
Sites, in units of the cell vectors:
Ag1 0.5000 0.0000 0.5000
Ag2 0.0000 0.0000 0.5000
Ag3 0.5000 0.5000 0.5000
Zn1 0.0000 0.0000 0.0000
Pu1 0.7537 0.3770 0.1308
Pu2 0.2463 0.6230 0.8692

Calculated values
Energy relative to the elements (eV per atom): -0.0071
Volume (Å³/f.u.): 128.0
Fermi-level density of states (states/eV/atom): 2.8570

---

The following is a PBE-GGA calculation of a relaxed structure of Pu2Zn3Ag3, from Alexandria via LeMat-Bulk.

a b c (Å): 2.8518 8.1404 8.1404
angles (deg): 120.00 90.00 90.00
Sites, in units of the cell vectors:
Zn1 0.5000 0.0000 0.3233
Zn2 0.5000 0.3233 0.0000
Zn3 0.5000 0.6767 0.6767
Ag1 0.0000 0.0000 0.7637
Ag2 0.0000 0.2363 0.2363
Ag3 0.0000 0.7637 0.0000
Pu1 0.0000 0.6667 0.3333
Pu2 0.0000 0.3333 0.6667

Calculated values
Energy relative to the elements (eV per atom): 0.0426
Volume (Å³/f.u.): 163.7
Fermi-level density of states (states/eV/atom): 1.9088

---

The following is a PBE-GGA calculation of a relaxed structure of PuZn6Ag12, from Alexandria via LeMat-Bulk.

a b c (Å): 7.4392 7.4392 7.4392
angles (deg): 104.47 104.47 104.47
Sites, in units of the cell vectors:
Ag1 0.1160 0.5000 0.8840
Ag2 0.8840 0.1160 0.5000
Ag3 0.5000 0.1160 0.8840
Ag4 0.1160 0.8840 0.5000
Ag5 0.6097 0.8624 0.6097
Ag6 0.3903 0.3903 0.1376
Ag7 0.8624 0.6097 0.6097
Ag8 0.8840 0.5000 0.1160
Ag9 0.5000 0.8840 0.1160
Ag10 0.6097 0.6097 0.8624
Ag11 0.1376 0.3903 0.3903
Ag12 0.3903 0.1376 0.3903
Zn1 0.2761 0.7013 0.2761
Zn2 0.2987 0.7239 0.7239
Zn3 0.7239 0.7239 0.2987
Zn4 0.7239 0.2987 0.7239
Zn5 0.2761 0.2761 0.7013
Zn6 0.7013 0.2761 0.2761
Pu1 0.0000 0.0000 0.0000

Calculated values
Energy relative to the elements (eV per atom): 0.1041
Volume (Å³/f.u.): 363.9
Fermi-level density of states (states/eV/atom): 1.3640

---

The following is a PBE-GGA calculation of a relaxed structure of PuZn4Ag8, from Alexandria via LeMat-Bulk.

a b c (Å): 5.3055 7.1634 7.1634
angles (deg): 82.12 68.26 68.26
Sites, in units of the cell vectors:
Pu1 0.0000 0.0000 0.0000
Zn1 0.0000 0.5000 0.0000
Zn2 0.0000 0.0000 0.5000
Zn3 0.5000 0.0000 0.5000
Zn4 0.5000 0.5000 0.0000
Ag1 0.2830 0.2170 0.2170
Ag2 0.5000 0.2170 0.7830
Ag3 0.6524 0.3476 0.3476
Ag4 0.0000 0.6524 0.3476
Ag5 0.5000 0.7830 0.2170
Ag6 0.0000 0.3476 0.6524
Ag7 0.7170 0.7830 0.7830
Ag8 0.3476 0.6524 0.6524

Calculated values
Energy relative to the elements (eV per atom): -0.0453
Volume (Å³/f.u.): 234.9
Fermi-level density of states (states/eV/atom): 1.6273

---

Among the records above, which one has the lowest volume?
Pu2ZnAg

---

The highest Fermi-level density of states belongs to which entry?
Pu2ZnAg